1.
Below is an optimized crystal structure of Hg2AsPt, with properties calculated at the PBE level. Values from VASP.

Quantum ESPRESSO input file:
```
&SYSTEM
  ibrav = 0, nat = 4, ntyp = 3
/
ATOMIC_SPECIES
Pt 195.08 Pt.upf
As 74.92 As.upf
Hg 200.59 Hg.upf
ATOMIC_POSITIONS angstrom
Pt 7.245 4.183 2.958
As 4.830 2.789 1.972
Hg 2.415 1.394 0.986
Hg 0.000 0.000 0.000
CELL_PARAMETERS angstrom
4.830 0.000 0.000
2.415 4.183 0.000
2.415 1.394 3.944
```

- DFT formation energy: 0.32 eV per atom
- Crystal system: cubic
- Magnetization: 0.00 μB per formula unit
- Energy: -10.02 eV per cell
- SG: F-43m

=====

2.
Below is an optimized crystal structure of Hg2AsPt, with properties calculated at the PBE level. Values from VASP.

Quantum ESPRESSO input file:
```
&SYSTEM
  ibrav = 0, nat = 4, ntyp = 3
/
ATOMIC_SPECIES
Hg 200.59 Hg.upf
As 74.92 As.upf
Pt 195.08 Pt.upf
ATOMIC_POSITIONS angstrom
Hg 1.512 2.636 0.000
As 0.000 2.636 2.514
Hg 0.000 0.000 0.000
Pt 1.512 0.000 2.514
CELL_PARAMETERS angstrom
3.024 0.000 0.000
0.000 5.271 0.000
0.000 0.000 5.027
```

- DFT formation energy: 0.25 eV per atom
- Crystal system: orthorhombic
- Magnetization: 0.00 μB per formula unit
- Energy: -10.28 eV per cell
- SG: Pmmm

=====

3.
Below is an optimized crystal structure of Hg2AsPt, with properties calculated at the PBE level. Values from VASP.

Quantum ESPRESSO input file:
```
&SYSTEM
  ibrav = 0, nat = 8, ntyp = 3
/
ATOMIC_SPECIES
Hg 200.59 Hg.upf
Pt 195.08 Pt.upf
As 74.92 As.upf
ATOMIC_POSITIONS angstrom
Hg 9.788 9.831 2.087
Pt 7.830 3.915 1.391
Pt 0.000 0.000 0.000
As 3.915 7.830 1.391
Hg 5.916 1.958 0.696
Hg 1.915 5.873 0.696
Hg 5.873 5.830 2.087
As 3.915 3.915 0.000
CELL_PARAMETERS angstrom
7.830 0.000 0.000
0.000 7.830 0.000
3.915 3.915 2.783
```

- DFT formation energy: 0.29 eV per atom
- Crystal system: tetragonal
- Magnetization: 0.00 μB per formula unit
- Energy: -20.28 eV per cell
- SG: I-42d

=====

4.
Below is an optimized crystal structure of HgAs2Pt, with properties calculated at the PBE level. Values from VASP.

Quantum ESPRESSO input file:
```
&SYSTEM
  ibrav = 0, nat = 4, ntyp = 3
/
ATOMIC_SPECIES
Hg 200.59 Hg.upf
Pt 195.08 Pt.upf
As 74.92 As.upf
ATOMIC_POSITIONS angstrom
Hg -3.963 -0.859 0.991
Pt -1.316 -1.554 2.181
As -1.902 -2.188 -0.709
As 0.000 0.000 0.000
CELL_PARAMETERS angstrom
-3.377 -0.226 3.881
-4.548 -1.492 -1.899
4.708 -2.024 -0.510
```

- DFT formation energy: 0.29 eV per atom
- Crystal system: tetragonal
- Magnetization: 0.00 μB per formula unit
- Energy: -14.47 eV per cell
- SG: I-4m2